Compound: ScCrSb2I
Source: the Alexandria database
Functional: PBE
Structure: relaxed

a b c (Å): 5.5230 5.5230 5.6484
angles (deg): 90.00 90.00 90.00
With the nearest neighbours (Å) after each atom.
Sites, in units of the cell vectors:
1 Sc 0.0000 0.0000 0.0000  4 Sb 2.76, 2 I 2.82
2 Cr 0.5000 0.5000 0.5000  4 I 3.91, 8 Sb 3.95
3 Sb 0.0000 0.5000 0.0000  2 Sc 2.76
4 Sb 0.5000 0.0000 0.0000  2 Sc 2.76
5 I 0.0000 0.0000 0.5000  2 Sc 2.82

Calculated values
Formation energy without anion corrections   423 meV per atom
Space group   P4/mmm
Excess energy over the best structure of this formula in the dataset   98 meV/atom
VASP energy   -4.727 eV/atom
Magnetic moment   4.27 μB/f.u.

=====

Compound: La8Pr4Cd
Source: the Alexandria database
Functional: PBE
Structure: relaxed

a b c (Å): 7.8962 7.8962 7.8962
angles (deg): 97.08 97.08 97.08
With the nearest neighbours (Å) after each atom.
Sites, in units of the cell vectors:
1 La 0.1706 0.1706 0.6673  3 Pr 3.41-3.44, 3 La 3.44-3.58
2 La 0.1706 0.6673 0.1706  3 Pr 3.41-3.44, 3 La 3.44-3.58
3 La 0.2398 0.2398 0.2398  1 Pr 2.85, 1 Cd 3.09
4 La 0.3327 0.8294 0.8294  3 Pr 3.41-3.44, 3 La 3.44-3.58
5 La 0.6673 0.1706 0.1706  3 Pr 3.41-3.44, 3 La 3.44-3.58
6 La 0.7602 0.7602 0.7602  1 Pr 2.85, 1 Cd 3.09
7 La 0.8294 0.3327 0.8294  3 Pr 3.41-3.44, 3 La 3.44-3.58
8 La 0.8294 0.8294 0.3327  3 Pr 3.41-3.44, 3 La 3.44-3.58
9 Pr 0.0000 0.0000 0.0000  2 La 2.85
10 Pr 0.0000 0.5000 0.5000  6 La 3.41-3.59
11 Pr 0.5000 0.0000 0.5000  6 La 3.41-3.59
12 Pr 0.5000 0.5000 0.0000  6 La 3.41-3.59
13 Cd 0.5000 0.5000 0.5000  2 La 3.09

Calculated values
Energy of formation   0.299 eV/atom
Space group   R-3m
VASP energy   -4.274 eV/atom
Magnetic moment   0.00 μB/f.u.

=====

Compound: CaTc2Se
Source: the Alexandria database
Functional: PBE
Structure: relaxed

a b c (Å): 3.0729 4.3732 5.6291
angles (deg): 90.00 90.00 90.00
With the nearest neighbours (Å) after each atom.
Sites, in units of the cell vectors:
1 Ca 0.0000 0.0000 0.0000  2 Se 2.81, 2 Ca 3.07
2 Tc 0.5000 0.5000 0.3002  1 Tc 2.25
3 Tc 0.5000 0.5000 0.6998  1 Tc 2.25
4 Se 0.0000 0.0000 0.5000  2 Ca 2.81, 8 Tc 2.90, 2 Se 3.07

Calculated values
Formation energy without anion corrections   514 meV per atom
Space group   Pmmm
VASP energy   -6.041 eV/atom
Magnetic moment   0.00 μB/f.u.

=====

Compound: ScGeSeS
Source: the Alexandria database
Functional: PBE
Structure: relaxed

a b c (Å): 3.6910 3.6910 7.9477
angles (deg): 93.53 93.53 60.14
With the nearest neighbours (Å) after each atom.
Sites, in units of the cell vectors:
1 Sc 0.0000 0.0000 0.0000  3 S 2.48
2 Ge 0.3572 0.3572 0.2613  3 Se 2.57
3 Se 0.0392 0.0392 0.4418  3 Ge 2.57
4 S 0.6520 0.6520 0.8395  3 Sc 2.48

Calculated values
Formation energy without anion corrections   -797 meV per atom
Space group   Cm
Excess energy over the best structure of this formula in the dataset   160 meV/atom
VASP energy   -5.437 eV/atom
Magnetic moment   0.00 μB/f.u.